# 1
The following is a DFT calculation (PBE with a Hubbard U) of a relaxed YVO2 crystal.

Results
- Final energy: -7.96 eV/atom

abc: 5.0138 5.0138 10.2305
angles: 90.00 90.00 90.00
With the nearest neighbours (Å) after each atom.
Space group I-42d (No. 122)
One atom of each set of equivalent atoms:
Y  0.0000  0.0000  0.0000 [4 per cell]  4 O 2.21
V  0.0000  0.0000  0.5000 [4 per cell]  4 O 2.16
O  0.2401  0.2500  0.6250 [8 per cell]  2 V 2.16, 2 Y 2.21

***

# 2
The following is a DFT calculation (PBE with a Hubbard U) of a relaxed Y2V2O crystal.

Results
- Offset from the most stable computed form: 101 kJ/mol of formula units

abc: 6.0237 6.0237 6.4918
angles: 90.00 90.00 90.00
With the nearest neighbours (Å) after each atom.
Space group I4/mmm (No. 139)
One atom of each set of equivalent atoms:
Y  0.0000  0.5000  0.2500 [4 per cell]  4 V 3.02, 2 Y 3.25
V  0.0000  0.0000  0.2102 [4 per cell]  1 O 1.88
O  0.0000  0.0000  0.5000 [2 per cell]  2 V 1.88

***

# 3
The following is a DFT calculation (PBE with a Hubbard U) of a relaxed Y3VO crystal.

Results
- Offset from the most stable computed form: 0 kJ/mol of formula units

abc: 4.8129 4.8129 4.8129
angles: 90.00 90.00 90.00
With the nearest neighbours (Å) after each atom.
Space group Pm-3m (No. 221)
One atom of each set of equivalent atoms:
Y  0.0000  0.0000  0.5000 [3 per cell]  2 O 2.41
V  0.5000  0.5000  0.5000 [1 per cell]  12 Y 3.40
O  0.0000  0.0000  0.0000 [1 per cell]  6 Y 2.41

***

# 4
The following is a DFT calculation (PBE with a Hubbard U) of a relaxed Y2V2O crystal.

Results
- Offset from the most stable computed form: 0 kJ/mol of formula units

abc: 6.0050 6.0050 5.7191
angles: 90.00 90.00 90.00
With the nearest neighbours (Å) after each atom.
Space group P4/mbm (No. 127)
One atom of each set of equivalent atoms:
Y  0.1664  0.3336  0.0000 [4 per cell]  1 Y 2.83, 2 V 3.14
V  0.1814  0.6814  0.5000 [4 per cell]  2 O 2.20
O  0.0000  0.0000  0.5000 [2 per cell]  4 V 2.20

***

Q: Number 1 is which compound?
A: YVO2